Material: NaPmTlIn
Method: DFT, PBE-GGA
State: optimized geometry

* space group: F-43m

a = 5.3881 Å, b = 5.3881 Å, c = 5.3881 Å
α = 60.00°, β = 60.00°, γ = 60.00°
Last column: nearest neighbours and their distance in Å.
Positions (direct):
Na 0.0000 0.0000 0.0000  4 Tl 3.30, 4 In 3.30
Pm 0.5000 0.5000 0.5000  4 Tl 3.30, 4 In 3.30
Tl 0.2500 0.2500 0.2500  4 Na 3.30, 4 Pm 3.30
In 0.7500 0.7500 0.7500  4 Na 3.30, 4 Pm 3.30



Material: NaPr4In3
Method: DFT, PBE-GGA
State: optimized geometry

* space group: I4/mmm

a = 9.0261 Å, b = 9.0261 Å, c = 9.0261 Å
α = 144.86°, β = 144.86°, γ = 50.54°
Last column: nearest neighbours and their distance in Å.
Positions (direct):
Na 0.0000 0.0000 0.0000  8 Pr 3.44, 4 In 3.85
Pr 0.1288 0.6288 0.5000  6 In 3.34-3.44, 2 Na 3.44
Pr 0.3712 0.8712 0.5000  6 In 3.34-3.44, 2 Na 3.44
Pr 0.6288 0.1288 0.5000  6 In 3.34-3.44, 2 Na 3.44
Pr 0.8712 0.3712 0.5000  6 In 3.34-3.44, 2 Na 3.44
In 0.2472 0.2472 0.0000  8 Pr 3.34-3.39
In 0.5000 0.5000 0.0000  8 Pr 3.44, 4 Na 3.85
In 0.7528 0.7528 0.0000  8 Pr 3.34-3.39



Material: NaPr6In5
Method: DFT, PBE-GGA
State: optimized geometry

* space group: Cmmm

a = 8.8351 Å, b = 8.8351 Å, c = 7.7559 Å
α = 90.00°, β = 90.00°, γ = 143.27°
Last column: nearest neighbours and their distance in Å.
Positions (direct):
Na 0.0000 0.0000 0.0000  8 Pr 3.43-3.45, 4 In 3.83
Pr 0.1705 0.8295 0.2497  7 In 3.37-3.48, 1 Na 3.45
Pr 0.1705 0.8295 0.7503  7 In 3.37-3.48, 1 Na 3.45
Pr 0.5000 0.5000 0.2580  6 In 3.31-3.36, 2 Na 3.43
Pr 0.5000 0.5000 0.7420  6 In 3.31-3.36, 2 Na 3.43
Pr 0.8295 0.1705 0.2497  7 In 3.37-3.48, 1 Na 3.45
Pr 0.8295 0.1705 0.7503  7 In 3.37-3.48, 1 Na 3.45
In 0.0000 0.0000 0.5000  8 Pr 3.36-3.46
In 0.3346 0.6654 0.5000  8 Pr 3.35-3.40
In 0.3430 0.6570 0.0000  8 Pr 3.31-3.48
In 0.6570 0.3430 0.0000  8 Pr 3.31-3.48
In 0.6654 0.3346 0.5000  8 Pr 3.35-3.40



Material: NaPr3In4
Method: DFT, PBE-GGA
State: optimized geometry

* space group: R-3m

a = 9.6150 Å, b = 9.6150 Å, c = 9.6150 Å
α = 32.85°, β = 32.85°, γ = 32.85°
Last column: nearest neighbours and their distance in Å.
Positions (direct):
Na 0.0000 0.0000 0.0000  8 In 3.35-3.41
Pr 0.2560 0.2560 0.2560  8 In 3.27-3.56
Pr 0.5000 0.5000 0.5000  8 In 3.34-3.38
Pr 0.7440 0.7440 0.7440  8 In 3.27-3.56
In 0.1252 0.1252 0.1252  7 Pr 3.34-3.56, 1 Na 3.41
In 0.3759 0.3759 0.3759  5 Pr 3.27-3.38, 3 Na 3.35
In 0.6241 0.6241 0.6241  5 Pr 3.27-3.38, 3 Na 3.35
In 0.8748 0.8748 0.8748  7 Pr 3.34-3.56, 1 Na 3.41



Material: NaPr2In
Method: DFT, PBE-GGA
State: optimized geometry

* space group: P4/mmm

a = 3.7391 Å, b = 3.7391 Å, c = 9.3404 Å
α = 90.00°, β = 90.00°, γ = 90.00°
Last column: nearest neighbours and their distance in Å.
Positions (direct):
Na 0.0000 0.0000 0.0000  8 Pr 3.73, 4 Na 3.74
Pr 0.5000 0.5000 0.2819  4 In 3.34, 4 Na 3.73
Pr 0.5000 0.5000 0.7181  4 In 3.34, 4 Na 3.73
In 0.0000 0.0000 0.5000  8 Pr 3.34



Material: NaPr2In9
Method: DFT, PBE-GGA
State: optimized geometry

* space group: P4/mmm

a = 4.7192 Å, b = 4.7192 Å, c = 14.2014 Å
α = 90.00°, β = 90.00°, γ = 90.00°
Last column: nearest neighbours and their distance in Å.
Positions (direct):
Na 0.0000 0.0000 0.0000  12 In 3.29-3.34
Pr 0.0000 0.0000 0.3325  12 In 3.34-3.39
Pr 0.0000 0.0000 0.6675  12 In 3.34-3.39
In 0.0000 0.5000 0.1611  2 Na 3.29, 8 In 3.29-3.42, 2 Pr 3.39
In 0.0000 0.5000 0.5000  8 In 3.32-3.34, 4 Pr 3.35
In 0.0000 0.5000 0.8389  2 Na 3.29, 8 In 3.29-3.42, 2 Pr 3.39
In 0.5000 0.0000 0.1611  2 Na 3.29, 8 In 3.29-3.42, 2 Pr 3.39
In 0.5000 0.0000 0.5000  8 In 3.32-3.34, 4 Pr 3.35
In 0.5000 0.0000 0.8389  2 Na 3.29, 8 In 3.29-3.42, 2 Pr 3.39
In 0.5000 0.5000 0.0000  8 In 3.29, 4 Na 3.34
In 0.5000 0.5000 0.3359  8 In 3.32-3.42, 4 Pr 3.34
In 0.5000 0.5000 0.6641  8 In 3.32-3.42, 4 Pr 3.34



Material: NaPr2In
Method: DFT, PBE-GGA
State: optimized geometry

* space group: P4/mmm

a = 5.3078 Å, b = 5.3078 Å, c = 4.3932 Å
α = 90.00°, β = 90.00°, γ = 90.00°
Last column: nearest neighbours and their distance in Å.
Positions (direct):
Na 0.0000 0.0000 0.0000  8 Pr 3.45, 4 In 3.75
Pr 0.0000 0.5000 0.5000  4 Na 3.45, 4 In 3.45, 4 Pr 3.75
Pr 0.5000 0.0000 0.5000  4 Na 3.45, 4 In 3.45, 4 Pr 3.75
In 0.5000 0.5000 0.0000  8 Pr 3.45, 4 Na 3.75



Material: NaPrInPt
Method: DFT, PBE-GGA
State: optimized geometry

* space group: F-43m

a = 5.0272 Å, b = 5.0272 Å, c = 5.0272 Å
α = 60.00°, β = 60.00°, γ = 60.00°
Last column: nearest neighbours and their distance in Å.
Positions (direct):
Na 0.0000 0.0000 0.0000  4 Pr 3.08, 4 In 3.08
Pr 0.2500 0.2500 0.2500  4 Pt 3.08, 4 Na 3.08
In 0.7500 0.7500 0.7500  4 Pt 3.08, 4 Na 3.08
Pt 0.5000 0.5000 0.5000  4 In 3.08, 4 Pr 3.08



no.,uncorrected energy (eV per atom)
1,-3.072
2,-3.924
3,-4.031
4,-3.726
5,-3.539
6,-3.286
7,-3.542
8,-4.224